A relaxed structure of Ga2SnGeS, computed with PBE-GGA.

The total energy is -3.063 eV per atom. The density of states at the Fermi level is 2.70 states/eV/f.u. For the formation energy without anion corrections, the calculation gives 336.5 kJ/mol of formula units.

The space group is P4/mmm (No. 123) and the conventional cell measures 5.301, 5.301 and 5.270 Å, with angles of 90.00, 90.00 and 90.00 degrees. The distinct sites, in fractional coordinates, are Ga at (0.000, 0.500, 0.000), Sn at (0.000, 0.000, 0.000), Ge at (0.000, 0.000, 0.500) and S at (0.500, 0.500, 0.500).